{"formula": "PrScZn2", "functional": "PBE-GGA", "state": "optimized geometry", "space_group": "P4/mmm", "formation_enthalpy_0k_ev_per_atom": -0.3136, "lattice": [[3.488, 0.000, 0.000], [0.000, 3.488, 0.000], [0.000, 0.000, 7.242]], "species": ["Pr", "Sc", "Zn", "Zn"], "frac_coords": [[0.500, 0.500, 0.500], [0.500, 0.500, 0.000], [0.000, 0.000, 0.792], [0.000, 0.000, 0.208]]}